{
  "formula": "Mg2MnAu",
  "functional": "GGA-PBE",
  "state": "relaxed",
  "cell": [[-2.090, 2.098, 4.022], [2.090, -2.098, 4.022], [2.090, 2.098, -4.022]],
  "species": ["Mg", "Mg", "Mn", "Au"],
  "frac_coords": [[0.000, 0.000, 0.000], [0.750, 0.250, 0.500], [0.499, 0.499, 0.000], [0.250, 0.750, 0.500]],
  "e_form_ev_per_atom": -0.147,
  "e_tot_ev_per_cell": -16.226
}